Entry 1:
K5Pb: PBEsol geometry, meta-GGA SCAN.

Properties
Symmetry: Cmmm
Size of the total moment, μB/cell: 0.28
DFT formation energy, eV/atom: -0.078
Energy, eV per atom: -19.65

a = 6.1922 Å, b = 6.2328 Å, c = 8.4425 Å
α = 90.00°, β = 111.51°, γ = 90.00°
Fractional positions:
K (0.3597, 0.5000, 0.7194)
K (0.8562, 0.0000, 0.7123)
Pb (0.5000, 0.0000, 0.0000)
K (0.0000, 0.5000, 0.0000)
K (0.1438, 0.0000, 0.2877)
K (0.6403, 0.5000, 0.2806)

***

Entry 2:
YPb: PBEsol geometry, meta-GGA SCAN.

Properties
Symmetry: P6_3/mmc
Size of the total moment, μB/cell: 0.00
DFT formation energy, eV/atom: -0.351
Energy, eV per atom: -52.16

a = 5.3335 Å, b = 5.3335 Å, c = 6.0613 Å
α = 90.00°, β = 90.00°, γ = 120.00°
Fractional positions:
Y (0.6667, 0.3333, 0.7500)
Pb (0.3333, 0.6667, 0.7500)
Pb (0.6667, 0.3333, 0.2500)
Y (0.3333, 0.6667, 0.2500)